No. 1
VASP calculation (PBE) on an optimized crystal structure of NbAsAuO.

```
NbAsAuO
1.0
4.910 0.000 0.000
0.000 4.910 0.000
0.000 0.000 5.024
Nb As Au O
2 2 2 2
Direct
0.250 0.750 0.000
0.750 0.250 0.000
0.250 0.250 0.187
0.750 0.750 0.813
0.250 0.250 0.680
0.750 0.750 0.320
0.250 0.750 0.500
0.750 0.250 0.500
```

## Properties
- polymorph energy (0 for the lowest one) (meV per atom) = 512.7
- symmetry = No. 129

***

No. 2
VASP calculation (PBE) on an optimized crystal structure of NbAsAuO.

```
NbAsAuO
1.0
3.703 0.000 0.000
0.000 3.703 0.000
0.000 0.000 9.142
Nb As Au O
2 2 2 2
Direct
0.250 0.250 0.128
0.750 0.750 0.872
0.250 0.250 0.737
0.750 0.750 0.263
0.250 0.750 0.500
0.750 0.250 0.500
0.250 0.750 0.000
0.750 0.250 0.000
```

## Properties
- polymorph energy (0 for the lowest one) (meV per atom) = 74.8
- symmetry = No. 129

***

No. 3
VASP calculation (PBE) on an optimized crystal structure of NbAsAuO.

```
NbAsAuO
1.0
3.056 0.000 0.000
0.000 6.609 0.000
0.000 0.000 7.243
Nb As Au O
2 2 2 2
Direct
0.000 0.059 0.000
0.000 0.941 0.500
0.500 0.270 0.416
0.500 0.730 0.916
0.500 0.411 0.098
0.500 0.589 0.598
0.000 0.094 0.741
0.000 0.906 0.241
```

## Properties
- polymorph energy (0 for the lowest one) (meV per atom) = 22.3
- symmetry = No. 26

***

No. 4
VASP calculation (PBE) on an optimized crystal structure of NbAsAuO.

```
NbAsAuO
1.0
3.904 0.000 0.000
0.000 6.698 0.000
0.000 0.000 5.296
Nb As Au O
2 2 2 2
Direct
0.000 0.171 0.000
0.000 0.829 0.500
0.000 0.229 0.497
0.000 0.771 0.997
0.500 0.459 0.572
0.500 0.541 0.072
0.500 0.130 0.011
0.500 0.870 0.511
```

## Properties
- polymorph energy (0 for the lowest one) (meV per atom) = 0.0
- symmetry = No. 26